1.
MgZnHg3 | PBE | relaxed

a b c (Å): 5.555 5.555 5.555
angles (deg): 90.00 90.00 90.00
Space group Pm-3m (No. 221)
Unique sites:
Mg (0.000, 0.000, 0.000) (multiplicity 1)
Zn (0.500, 0.500, 0.500) (multiplicity 1)
Hg (0.000, 0.000, 0.500) (multiplicity 3)

## Properties
The total energy is -0.513 eV/atom. The formation enthalpy at 0 K is 5.58 kcal/mol of atoms. As for the total magnetization: 0.00 μB/f.u. The relative energy among the computed polymorphs is 5.96 kcal/mol of atoms. Its crystal system is cubic.

2.
Mg6Zn5Hg | PBE | relaxed

a b c (Å): 4.582 7.125 7.184
angles (deg): 90.00 108.09 90.00
Space group P2/m (No. 10)
Unique sites:
Mg (0.000, 0.245, 0.000) (multiplicity 2)
Mg (0.333, 0.243, 0.663) (multiplicity 4)
Zn (0.164, 0.000, 0.331) (multiplicity 2)
Zn (0.171, 0.500, 0.345) (multiplicity 2)
Zn (0.500, 0.000, 0.000) (multiplicity 1)
Hg (0.500, 0.500, 0.000) (multiplicity 1)

## Properties
The total energy is -1.453 eV/atom. The formation enthalpy at 0 K is -2.30 kcal/mol of atoms. As for the total magnetization: 0.00 μB/f.u. Its crystal system is monoclinic.

3.
Mg6ZnHg2 | PBE | relaxed

a b c (Å): 4.9396 4.9396 8.9135
angles (deg): 90.00 90.00 120.00
Space group P-3m1 (No. 164)
Unique sites:
Mg (0.0000, 0.0000, 0.1831) (multiplicity 2)
Mg (0.3333, 0.6667, 0.0560) (multiplicity 2)
Mg (0.3333, 0.6667, 0.4020) (multiplicity 2)
Zn (0.0000, 0.0000, 0.5000) (multiplicity 1)
Hg (0.3333, 0.6667, 0.7328) (multiplicity 2)

## Properties
The total energy is -1.370 eV/atom. The formation enthalpy at 0 K is -2.26 kcal/mol of atoms. As for the total magnetization: 0.00 μB/f.u. The relative energy among the computed polymorphs is 1.33 kcal/mol of atoms. Its crystal system is trigonal.

Repeat the first record exactly.
MgZnHg3 | PBE | relaxed

a b c (Å): 5.555 5.555 5.555
angles (deg): 90.00 90.00 90.00
Space group Pm-3m (No. 221)
Unique sites:
Mg (0.000, 0.000, 0.000) (multiplicity 1)
Zn (0.500, 0.500, 0.500) (multiplicity 1)
Hg (0.000, 0.000, 0.500) (multiplicity 3)

## Properties
The total energy is -0.513 eV/atom. The formation enthalpy at 0 K is 5.58 kcal/mol of atoms. As for the total magnetization: 0.00 μB/f.u. The relative energy among the computed polymorphs is 5.96 kcal/mol of atoms. Its crystal system is cubic.

Which value of formation enthalpy at 0 K does entry 3 give? -2.26 kcal/mol of atoms